# GGA-PBE KSmAuO2, optimized geometry
data_KSmAuO2
_chemical_formula_sum 'K2 Sm2 Au2 O4'
_cell_length_a 6.702
_cell_length_b 5.480
_cell_length_c 6.708
_cell_angle_alpha 90.00
_cell_angle_beta 94.56
_cell_angle_gamma 90.00
_symmetry_space_group_name_H-M 'P 1 2/c 1'
_symmetry_Int_Tables_number 13
loop_
_symmetry_equiv_pos_as_xyz
'x,y,z'
'-x,-y,-z'
'-x,y,-z+1/2'
'x,-y,z+1/2'
loop_
_atom_site_label
_atom_site_type_symbol
_atom_site_fract_x
_atom_site_fract_y
_atom_site_fract_z
_atom_site_occupancy
K1 K 0.000 0.211 0.250 1
Sm1 Sm 0.500 0.020 0.750 1
Au1 Au 0.500 0.500 0.000 1
O1 O 0.293 0.119 0.993 1
# E_form (uncorrected) ... -1.6080 eV per atom
# Density of states at the Fermi level ... 0.357 states/eV/atom

# GGA-PBE K2SnAuO, optimized geometry
data_K2SnAuO
_chemical_formula_sum 'K4 Sn2 Au2 O2'
_cell_length_a 6.671
_cell_length_b 5.059
_cell_length_c 9.020
_cell_angle_alpha 90.00
_cell_angle_beta 109.04
_cell_angle_gamma 90.00
_symmetry_space_group_name_H-M 'P 1 21/m 1'
_symmetry_Int_Tables_number 11
loop_
_symmetry_equiv_pos_as_xyz
'x,y,z'
'-x,-y,-z'
'-x,y+1/2,-z'
'x,-y+1/2,z'
loop_
_atom_site_label
_atom_site_type_symbol
_atom_site_fract_x
_atom_site_fract_y
_atom_site_fract_z
_atom_site_occupancy
K1 K 0.075 0.250 0.328 1
K2 K 0.225 0.250 0.996 1
Sn1 Sn 0.478 0.750 0.310 1
Au1 Au 0.397 0.750 0.612 1
O1 O 0.176 0.750 0.157 1
# E_form (uncorrected) ... -0.7871 eV per atom
# Density of states at the Fermi level ... 0.098 states/eV/atom

# GGA-PBE K2SnAuO4, optimized geometry
data_K2SnAuO4
_chemical_formula_sum 'K4 Sn2 Au2 O8'
_cell_length_a 6.398
_cell_length_b 6.398
_cell_length_c 7.024
_cell_angle_alpha 90.00
_cell_angle_beta 90.00
_cell_angle_gamma 90.00
_symmetry_space_group_name_H-M 'I -4'
_symmetry_Int_Tables_number 82
loop_
_symmetry_equiv_pos_as_xyz
'x,y,z'
'y,-x,-z'
'-x,-y,z'
'-y,x,-z'
'x+1/2,y+1/2,z+1/2'
'y+1/2,-x+1/2,-z+1/2'
'-x+1/2,-y+1/2,z+1/2'
'-y+1/2,x+1/2,-z+1/2'
loop_
_atom_site_label
_atom_site_type_symbol
_atom_site_fract_x
_atom_site_fract_y
_atom_site_fract_z
_atom_site_occupancy
K1 K 0.000 0.000 0.000 1
K2 K 0.000 0.500 0.250 1
Sn1 Sn 0.000 0.500 0.750 1
Au1 Au 0.000 0.000 0.500 1
O1 O 0.150 0.298 0.579 1
# E_form (uncorrected) ... -1.0851 eV per atom
# Density of states at the Fermi level ... 0.009 states/eV/atom

# GGA-PBE KSrAuO2, optimized geometry
data_KSrAuO2
_chemical_formula_sum 'K2 Sr2 Au2 O4'
_cell_length_a 5.777
_cell_length_b 5.737
_cell_length_c 7.114
_cell_angle_alpha 90.00
_cell_angle_beta 90.02
_cell_angle_gamma 90.00
_symmetry_space_group_name_H-M 'P 1 2/c 1'
_symmetry_Int_Tables_number 13
loop_
_symmetry_equiv_pos_as_xyz
'x,y,z'
'-x,-y,-z'
'-x,y,-z+1/2'
'x,-y,z+1/2'
loop_
_atom_site_label
_atom_site_type_symbol
_atom_site_fract_x
_atom_site_fract_y
_atom_site_fract_z
_atom_site_occupancy
K1 K 0.000 0.001 0.250 1
Sr1 Sr 0.500 0.500 0.250 1
Au1 Au 0.500 0.000 0.000 1
O1 O 0.290 0.285 0.000 1
# E_form (uncorrected) ... -1.5176 eV per atom
# Density of states at the Fermi level ... 0.000 states/eV/atom

# GGA-PBE KSr2AuO, optimized geometry
data_KSr2AuO
_chemical_formula_sum 'K1 Sr2 Au1 O1'
_cell_length_a 5.089
_cell_length_b 5.089
_cell_length_c 5.278
_cell_angle_alpha 90.00
_cell_angle_beta 90.00
_cell_angle_gamma 90.00
_symmetry_space_group_name_H-M 'P 4/m m m'
_symmetry_Int_Tables_number 123
_symmetry_space_group_name_Hall '-P 4 2'
loop_
_atom_site_label
_atom_site_type_symbol
_atom_site_fract_x
_atom_site_fract_y
_atom_site_fract_z
_atom_site_occupancy
K1 K 0.000 0.000 0.000 1
Sr1 Sr 0.000 0.500 0.500 1
Au1 Au 0.500 0.500 0.000 1
O1 O 0.000 0.000 0.500 1
# E_form (uncorrected) ... -1.1620 eV per atom
# Density of states at the Fermi level ... 0.371 states/eV/atom

# GGA-PBE KSr2AuO4, optimized geometry
data_KSr2AuO4
_chemical_formula_sum 'K4 Sr8 Au4 O16'
_cell_length_a 3.896
_cell_length_b 12.780
_cell_length_c 12.984
_cell_angle_alpha 90.00
_cell_angle_beta 90.00
_cell_angle_gamma 90.00
_symmetry_space_group_name_H-M 'C m c m'
_symmetry_Int_Tables_number 63
_symmetry_space_group_name_Hall '-C 2c 2'
loop_
_atom_site_label
_atom_site_type_symbol
_atom_site_fract_x
_atom_site_fract_y
_atom_site_fract_z
_atom_site_occupancy
K1 K 0.000 0.066 0.250 1
Sr1 Sr 0.000 0.369 0.040 1
Au1 Au 0.000 0.222 0.750 1
O1 O 0.000 0.000 0.000 1
O2 O 0.000 0.242 0.596 1
O3 O 0.000 0.326 0.250 1
# E_form (uncorrected) ... -1.5941 eV per atom
# Density of states at the Fermi level ... 0.306 states/eV/atom

# GGA-PBE KSr2AuO, optimized geometry
data_KSr2AuO
_chemical_formula_sum 'K1 Sr2 Au1 O1'
_cell_length_a 6.175
_cell_length_b 6.175
_cell_length_c 4.411
_cell_angle_alpha 90.00
_cell_angle_beta 90.00
_cell_angle_gamma 90.00
_symmetry_space_group_name_H-M 'P 4/m m m'
_symmetry_Int_Tables_number 123
_symmetry_space_group_name_Hall '-P 4 2'
loop_
_atom_site_label
_atom_site_type_symbol
_atom_site_fract_x
_atom_site_fract_y
_atom_site_fract_z
_atom_site_occupancy
K1 K 0.000 0.000 0.000 1
Sr1 Sr 0.000 0.500 0.000 1
Au1 Au 0.500 0.500 0.500 1
O1 O 0.000 0.000 0.500 1
# E_form (uncorrected) ... 0.0329 eV per atom
# Density of states at the Fermi level ... 0.886 states/eV/atom

# GGA-PBE K2TbAuO4, optimized geometry
data_K2TbAuO4
_chemical_formula_sum 'K16 Tb8 Au8 O32'
_cell_length_a 6.257
_cell_length_b 14.445
_cell_length_c 23.166
_cell_angle_alpha 90.00
_cell_angle_beta 90.00
_cell_angle_gamma 90.00
_symmetry_space_group_name_H-M 'F d d d'
_symmetry_Int_Tables_number 70
loop_
_symmetry_equiv_pos_as_xyz
'x,y,z'
'-x,-y,-z'
'-x+1/4,-y+1/4,z'
'x+1/4,y+1/4,-z'
'x,-y+1/4,-z+1/4'
'-x,y+1/4,z+1/4'
'-x+1/4,y,-z+1/4'
'x+1/4,-y,z+1/4'
'x,y+1/2,z+1/2'
'-x,-y+1/2,-z+1/2'
'-x+1/4,-y+3/4,z+1/2'
'x+1/4,y+3/4,-z+1/2'
'x,-y+3/4,-z+3/4'
'-x,y+3/4,z+3/4'
'-x+1/4,y+1/2,-z+3/4'
'x+1/4,-y+1/2,z+3/4'
'x+1/2,y,z+1/2'
'-x+1/2,-y,-z+1/2'
'-x+3/4,-y+1/4,z+1/2'
'x+3/4,y+1/4,-z+1/2'
'x+1/2,-y+1/4,-z+3/4'
'-x+1/2,y+1/4,z+3/4'
'-x+3/4,y,-z+3/4'
'x+3/4,-y,z+3/4'
'x+1/2,y+1/2,z'
'-x+1/2,-y+1/2,-z'
'-x+3/4,-y+3/4,z'
'x+3/4,y+3/4,-z'
'x+1/2,-y+3/4,-z+1/4'
'-x+1/2,y+3/4,z+1/4'
'-x+3/4,y+1/2,-z+1/4'
'x+3/4,-y+1/2,z+1/4'
loop_
_atom_site_label
_atom_site_type_symbol
_atom_site_fract_x
_atom_site_fract_y
_atom_site_fract_z
_atom_site_occupancy
K1 K 0.125 0.125 0.323 1
Tb1 Tb 0.125 0.125 0.125 1
Au1 Au 0.125 0.125 0.625 1
O1 O 0.110 0.276 0.876 1
# E_form (uncorrected) ... -1.3491 eV per atom